{"formula": "Cs2SrTe2", "functional": "PBE", "state": "relaxed", "cell": [[9.285, 0.000, 0.000], [0.000, 9.285, 0.000], [0.000, 0.000, 5.629]], "species": ["Cs", "Cs", "Cs", "Cs", "Sr", "Sr", "Te", "Te", "Te", "Te"], "fractional_positions": [[0.135, 0.365, 0.000], [0.365, 0.865, 0.000], [0.635, 0.135, 0.000], [0.865, 0.635, 0.000], [0.000, 0.000, 0.500], [0.500, 0.500, 0.500], [0.180, 0.680, 0.500], [0.320, 0.180, 0.500], [0.680, 0.820, 0.500], [0.820, 0.320, 0.500]], "n_ef_per_ev_cell": 0.0, "e_form_raw_mev_per_atom": -1041.8, "mass_density_g_cm3": 4.2}